First-principles (PBE-GGA) data for a relaxed structure of Cs3UTl2S6, as listed in Alexandria.

Output
uncorrected energy: -54.89 eV per cell
formation energy without anion corrections: -0.9619 eV per atom

a b c (Å): 7.5466 7.5466 8.2114
angles (deg): 98.57 98.57 119.70
Closest atoms and distances in Å follow each position.
Positions (direct):
Cs 0.1811 0.8189 0.5000  6 S 3.42-3.69
Cs 0.8189 0.1811 0.5000  6 S 3.42-3.69
Cs 0.5000 0.5000 0.5000  6 S 3.42-3.77
U 0.0000 0.0000 0.0000  6 S 2.59
Tl 0.3356 0.6644 0.0000  6 S 3.08-3.14
Tl 0.6644 0.3356 0.0000  6 S 3.08-3.14
S 0.9380 0.6549 0.8142  1 U 2.59
S 0.7868 0.7868 0.1954  1 U 2.59
S 0.0620 0.3451 0.1858  1 U 2.59
S 0.6549 0.9380 0.8142  1 U 2.59
S 0.2132 0.2132 0.8046  1 U 2.59
S 0.3451 0.0620 0.1858  1 U 2.59


First-principles (PBE-GGA) data for a relaxed structure of SrTaBr2, as listed in Alexandria.

Output
uncorrected energy: -16.82 eV per cell
formation energy without anion corrections: 0.0145 eV per atom

a b c (Å): 10.3260 10.3260 10.3260
angles (deg): 19.50 19.50 19.50
Closest atoms and distances in Å follow each position.
Positions (direct):
Sr 0.2500 0.2500 0.2500  6 Sr 3.50, 6 Br 3.78
Br 0.0219 0.0219 0.0219  3 Ta 2.75
Br 0.4781 0.4781 0.4781  3 Ta 2.75
Ta 0.7500 0.7500 0.7500  6 Br 2.75


First-principles (PBE-GGA) data for a relaxed structure of BaIn2Os, as listed in Alexandria.

Output
energy relative to the elements: 0.774 eV per atom
uncorrected energy: -15.53 eV per cell

a b c (Å): 6.3042 6.3042 3.1324
angles (deg): 81.13 81.13 120.60
Closest atoms and distances in Å follow each position.
Positions (direct):
Ba 0.0000 0.5000 0.5000  2 Os 3.12, 2 Ba 3.13, 4 In 3.30
In 0.0000 0.0000 0.0000  4 In 3.12-3.13, 2 Os 3.30, 2 Ba 3.30
In 0.5000 0.5000 0.0000  4 In 3.12-3.13, 2 Ba 3.30, 2 Os 3.30
Os 0.5000 0.0000 0.5000  2 Ba 3.12, 2 Os 3.13, 4 In 3.30


Table of magnetization (μB per formula unit), in record order: 0.00, 0.22, 1.14